Record 1
The following is a DFT calculation (GGA+U) of a geometry-optimized Cs4FeMo3O12 structure.

Cell lengths 6.462, 6.462, 24.648 Å; angles 90.12, 90.12, 121.07 degrees
Element x y z (fractional)
Cs 0.166 0.834 0.500
Cs 0.167 0.835 0.061
Cs 0.169 0.834 0.865
Cs 0.172 0.836 0.687
Cs 0.834 0.166 0.000
Cs 0.834 0.169 0.365
Cs 0.835 0.167 0.561
Cs 0.836 0.172 0.187
Fe 0.502 0.504 0.279
Fe 0.504 0.502 0.779
Mo 0.174 0.837 0.259
Mo 0.498 0.500 0.435
Mo 0.500 0.498 0.935
Mo 0.501 0.503 0.123
Mo 0.503 0.501 0.623
Mo 0.837 0.174 0.759
O 0.131 0.419 0.781
O 0.168 0.831 0.187
O 0.196 0.342 0.460
O 0.199 0.346 0.097
O 0.223 0.600 0.282
O 0.342 0.196 0.960
O 0.346 0.199 0.597
O 0.354 0.652 0.598
O 0.354 0.654 0.957
O 0.419 0.131 0.281
O 0.488 0.498 0.361
O 0.498 0.488 0.861
O 0.499 0.506 0.197
O 0.506 0.499 0.697
O 0.600 0.223 0.782
O 0.652 0.354 0.098
O 0.652 0.805 0.459
O 0.653 0.805 0.097
O 0.654 0.354 0.457
O 0.781 0.883 0.782
O 0.805 0.652 0.959
O 0.805 0.653 0.597
O 0.831 0.168 0.687
O 0.883 0.781 0.282

Properties
total magnetization: 8.00 μB per cell
space-group type: No. 9
total energy: -252.267 eV/cell
N(E_F): 0.000 states/eV/atom



Record 2
The following is a DFT calculation (GGA+U) of a geometry-optimized CsFeMo2O8 structure.

Cell lengths 5.697, 5.697, 8.287 Å; angles 90.00, 90.00, 120.00 degrees
Element x y z (fractional)
Cs 0.000 0.000 0.000
Fe 0.000 0.000 0.500
Mo 0.333 0.667 0.702
Mo 0.667 0.333 0.298
O 0.158 0.317 0.637
O 0.158 0.842 0.637
O 0.317 0.158 0.363
O 0.333 0.667 0.914
O 0.667 0.333 0.086
O 0.683 0.842 0.637
O 0.842 0.158 0.363
O 0.842 0.683 0.363

Properties
total magnetization: 1.00 μB per cell
space-group type: No. 164
total energy: -77.856 eV/cell
N(E_F): 0.290 states/eV/atom



What did the second record say?
The following is a DFT calculation (GGA+U) of a geometry-optimized CsFeMo2O8 structure.

Cell lengths 5.697, 5.697, 8.287 Å; angles 90.00, 90.00, 120.00 degrees
Element x y z (fractional)
Cs 0.000 0.000 0.000
Fe 0.000 0.000 0.500
Mo 0.333 0.667 0.702
Mo 0.667 0.333 0.298
O 0.158 0.317 0.637
O 0.158 0.842 0.637
O 0.317 0.158 0.363
O 0.333 0.667 0.914
O 0.667 0.333 0.086
O 0.683 0.842 0.637
O 0.842 0.158 0.363
O 0.842 0.683 0.363

Properties
total magnetization: 1.00 μB per cell
space-group type: No. 164
total energy: -77.856 eV/cell
N(E_F): 0.290 states/eV/atom